First-principles (PBE) data for a geometry-optimized HoZn11Si structure, as listed in the Alexandria database.

Cell lengths 5.219, 6.773, 6.837 Å; angles 81.37, 67.56, 66.85 degrees
Fractional positions:
Ho (0.000, 0.000, 0.000)
Zn (0.281, 0.214, 0.215)
Zn (0.719, 0.786, 0.785)
Zn (0.504, 0.786, 0.215)
Zn (0.496, 0.214, 0.785)
Zn (0.354, 0.646, 0.645)
Zn (0.646, 0.354, 0.355)
Zn (0.002, 0.354, 0.645)
Zn (0.998, 0.646, 0.355)
Zn (0.000, 0.500, 0.000)
Zn (0.500, 0.000, 0.500)
Zn (0.000, 0.000, 0.500)
Si (0.500, 0.500, 0.000)

Output
D(E_F)   3.88 states/eV/cell
ΔE_f (raw)   -0.104 eV/atom